{
  "formula": "SbAsPb2",
  "functional": "GGA-PBE",
  "state": "relaxed",
  "raw_formation_energy_mev_per_atom": 122.1,
  "space_group": "Immm, No. 71",
  "crystal_system": "orthorhombic",
  "polymorph_energy_ev_per_atom": 0.0667,
  "n_ef_per_ev_fu": 2.00,
  "lattice": [[-7.1852, -0.7772, 0.7307], [-3.9287, -4.8549, 3.7095], [5.4369, 4.8172, 0.0177]],
  "species": ["Pb", "Pb", "Sb", "As"],
  "frac_coords": [[0.4344, 0.4344, 0.0000], [0.0656, 0.0656, 0.0000], [0.7500, 0.2500, 0.5000], [0.2500, 0.7500, 0.5000]]
}